Entry 1:
A plane-wave DFT calculation with GGA-PBEsol was carried out for Sb3PbO after structural relaxation.

Output
Magnetic moment (μB/cell): 0.00
DOS at the Fermi energy (states/eV/atom): 0.47
Total DFT energy (no corrections) (eV per atom): -4.695

The structure in CIF format:
```
data_Sb3PbO
_space_group_name_H-M_alt 'P m -3 m'
_space_group_IT_number 221
_space_group_name_Hall '-P 4 2 3'
_cell_length_a 4.8490
_cell_length_b 4.8490
_cell_length_c 4.8490
_cell_angle_alpha 90.00
_cell_angle_beta 90.00
_cell_angle_gamma 90.00
loop_
_atom_site_label
_atom_site_type_symbol
_atom_site_fract_x
_atom_site_fract_y
_atom_site_fract_z
Sb1 Sb 0.0000 0.0000 0.5000
Pb1 Pb 0.5000 0.5000 0.5000
O1 O 0.0000 0.0000 0.0000
```

---

Entry 2:
A plane-wave DFT calculation with GGA-PBEsol was carried out for ScAl2Cd after structural relaxation.

Output
Magnetic moment (μB/cell): 0.00
DOS at the Fermi energy (states/eV/atom): 0.30
Total DFT energy (no corrections) (eV per atom): -4.370

The structure in CIF format:
```
data_ScAl2Cd
_space_group_name_H-M_alt 'P 4/m m m'
_space_group_IT_number 123
_space_group_name_Hall '-P 4 2'
_cell_length_a 4.1948
_cell_length_b 4.1948
_cell_length_c 4.1185
_cell_angle_alpha 90.00
_cell_angle_beta 90.00
_cell_angle_gamma 90.00
loop_
_atom_site_label
_atom_site_type_symbol
_atom_site_fract_x
_atom_site_fract_y
_atom_site_fract_z
Sc1 Sc 0.0000 0.0000 0.0000
Al1 Al 0.0000 0.5000 0.5000
Cd1 Cd 0.5000 0.5000 0.0000
```

---

Entry 3:
A plane-wave DFT calculation with GGA-PBEsol was carried out for Li3Au after structural relaxation.

Output
Magnetic moment (μB/cell): 0.00
DOS at the Fermi energy (states/eV/atom): 0.33
Total DFT energy (no corrections) (eV per atom): -2.828

The structure in CIF format:
```
data_Li3Au
_space_group_name_H-M_alt 'P m m n'
_space_group_IT_number 59
_cell_length_a 4.5081
_cell_length_b 5.6876
_cell_length_c 4.7033
_cell_angle_alpha 90.00
_cell_angle_beta 90.00
_cell_angle_gamma 90.00
loop_
_space_group_symop_operation_xyz
'x,y,z'
'-x,-y,-z'
'-x+1/2,-y+1/2,z'
'x+1/2,y+1/2,-z'
'x+1/2,-y,-z'
'-x+1/2,y,z'
'-x,y+1/2,-z'
'x,-y+1/2,z'
loop_
_atom_site_label
_atom_site_type_symbol
_atom_site_fract_x
_atom_site_fract_y
_atom_site_fract_z
Li1 Li 0.2500 0.0020 0.1867
Li2 Li 0.2500 0.7500 0.6594
Au1 Au 0.2500 0.2500 0.6943
```

---

Entry 4:
A plane-wave DFT calculation with GGA-PBEsol was carried out for NaLa3Bi after structural relaxation.

Output
Magnetic moment (μB/cell): 0.83
DOS at the Fermi energy (states/eV/atom): 2.42
Total DFT energy (no corrections) (eV per atom): -4.159

The structure in CIF format:
```
data_NaLa3Bi
_space_group_name_H-M_alt 'P m -3 m'
_space_group_IT_number 221
_space_group_name_Hall '-P 4 2 3'
_cell_length_a 6.1605
_cell_length_b 6.1605
_cell_length_c 6.1605
_cell_angle_alpha 90.00
_cell_angle_beta 90.00
_cell_angle_gamma 90.00
loop_
_atom_site_label
_atom_site_type_symbol
_atom_site_fract_x
_atom_site_fract_y
_atom_site_fract_z
Na1 Na 0.0000 0.0000 0.0000
La1 La 0.0000 0.5000 0.5000
Bi1 Bi 0.5000 0.5000 0.5000
```

---

Entry 5:
A plane-wave DFT calculation with GGA-PBEsol was carried out for ZnOs2Se after structural relaxation.

Output
Magnetic moment (μB/cell): 0.00
DOS at the Fermi energy (states/eV/atom): 0.82
Energy above the lowest structure with this stoichiometry (kJ per mole of atoms): 17.3

The structure in CIF format:
```
data_ZnOs2Se
_space_group_name_H-M_alt 'C 1 2/m 1'
_space_group_IT_number 12
_space_group_name_Hall '-C 2y'
_cell_length_a 8.3838
_cell_length_b 2.8775
_cell_length_c 4.8645
_cell_angle_alpha 90.00
_cell_angle_beta 101.20
_cell_angle_gamma 90.00
loop_
_atom_site_label
_atom_site_type_symbol
_atom_site_fract_x
_atom_site_fract_y
_atom_site_fract_z
Zn1 Zn 0.0000 0.0000 0.0000
Os1 Os 0.2469 0.0000 0.7459
Se1 Se 0.0000 0.5000 0.5000
```

---

Entry 6:
A plane-wave DFT calculation with GGA-PBEsol was carried out for LuHfIr2 after structural relaxation.

Output
Magnetic moment (μB/cell): 0.00
DOS at the Fermi energy (states/eV/atom): 0.78
Total DFT energy (no corrections) (eV per atom): -9.673

The structure in CIF format:
```
data_LuHfIr2
_space_group_name_H-M_alt 'F m -3 m'
_space_group_IT_number 225
_space_group_name_Hall '-F 4 2 3'
_cell_length_a 6.5377
_cell_length_b 6.5377
_cell_length_c 6.5377
_cell_angle_alpha 90.00
_cell_angle_beta 90.00
_cell_angle_gamma 90.00
loop_
_atom_site_label
_atom_site_type_symbol
_atom_site_fract_x
_atom_site_fract_y
_atom_site_fract_z
Lu1 Lu 0.0000 0.0000 0.0000
Hf1 Hf 0.0000 0.0000 0.5000
Ir1 Ir 0.2500 0.2500 0.2500
```